Entry from Alexandria via LeMat-Bulk: a relaxed YBe2Tc crystal (PBE-GGA).

Cell lengths 3.8546, 3.8546, 5.4517 Å; angles 69.32, 69.32, 59.93 degrees
Closest atoms and distances in Å follow each position.
Sites, in units of the cell vectors:
Y (0.7472, 0.7472, 0.7574)  7 Be 2.86-3.16, 4 Tc 2.95-3.01
Be (0.9388, 0.9388, 0.1835)  3 Be 2.23, 3 Tc 2.37
Be (0.2637, 0.2637, 0.2091)  3 Be 2.23, 3 Tc 2.33
Tc (0.5502, 0.5502, 0.3500)  6 Be 2.33-2.37

Properties
energy	-6.104	eV per atom
E_form	-0.033	eV per atom
excess energy over the best structure of this formula in the dataset	21	kJ/mol of formula units
space group	No. 160